No. 1
## K3CaO (PBE)

Data for an optimized crystal structure of K3CaO.

Calculated values
calculated volume	189	Å³/f.u.
DOS at the Fermi energy	4.95	states/eV per cell
energy above the lowest structure with this stoichiometry	0	meV per atom
space group	Pm-3m

Lattice parameters (Å, degrees): 5.7342 5.7342 5.7342 90.00 90.00 90.00
Last column: nearest neighbours and their distance in Å.
Sites, in units of the cell vectors:
Ca: 0.5000 0.5000 0.5000  12 K 4.05
K: 0.0000 0.5000 0.0000  2 O 2.87
K: 0.0000 0.0000 0.5000  2 O 2.87
K: 0.5000 0.0000 0.0000  2 O 2.87
O: 0.0000 0.0000 0.0000  6 K 2.87

---

No. 2
## KCa2O (PBE)

Data for an optimized crystal structure of KCa2O.

Calculated values
calculated volume	117	Å³/f.u.
DOS at the Fermi energy	1.65	states/eV per cell
space group	R-3m

Lattice parameters (Å, degrees): 3.6224 3.6224 10.5193 80.09 80.09 60.00
Last column: nearest neighbours and their distance in Å.
Sites, in units of the cell vectors:
Ca: 0.1221 0.1221 0.6338  3 O 2.51
Ca: 0.8779 0.8779 0.3662  3 O 2.51
K: 0.0000 0.0000 0.0000  6 K 3.62, 2 Ca 3.77
O: 0.5000 0.5000 0.5000  6 Ca 2.51

---

No. 3
## KCaO2 (PBE)

Data for an optimized crystal structure of KCaO2.

Calculated values
calculated volume	91	Å³/f.u.
DOS at the Fermi energy	5.29	states/eV per cell
space group	I-42d

Lattice parameters (Å, degrees): 5.5816 5.5816 7.0331 66.62 66.62 90.00
Last column: nearest neighbours and their distance in Å.
Sites, in units of the cell vectors:
Ca: 0.0000 0.0000 0.0000  4 O 2.25
Ca: 0.7500 0.2500 0.5000  4 O 2.25
K: 0.5000 0.5000 0.0000  4 O 2.70
K: 0.2500 0.7500 0.5000  4 O 2.70
O: 0.6964 0.1250 0.2500  2 Ca 2.25
O: 0.0536 0.6250 0.2500  2 Ca 2.25
O: 0.3750 0.3036 0.7500  2 Ca 2.25
O: 0.8750 0.9464 0.7500  2 Ca 2.25

---

no.,ΔE_f (raw) (kJ/mol of formula units),E_tot (eV per atom)
1,-148,-2.3565
2,-455,-3.6924
3,-637,-4.9046